No. 1
## BiSbPtI2 (PBE)

Data for an optimized crystal structure of BiSbPtI2.

Cell lengths 5.441, 5.441, 5.341 Å; angles 90.00, 90.00, 90.00 degrees
Positions (direct):
I 0.000 0.500 0.000
I 0.500 0.000 0.000
Sb 0.000 0.000 0.500
Bi 0.500 0.500 0.500
Pt 0.000 0.000 0.000

Properties
Raw formation energy ... 0.27 eV/atom
Final energy ... -3.160 eV/atom
SG ... P4/mmm



No. 2
## Sm8AlHg2 (PBE)

Data for an optimized crystal structure of Sm8AlHg2.

Cell lengths 5.398, 8.655, 8.664 Å; angles 119.47, 108.15, 90.00 degrees
Positions (direct):
Sm 0.592 0.443 0.184
Sm 0.322 0.047 0.643
Sm 0.133 0.183 0.266
Sm 0.070 0.720 0.139
Sm 0.867 0.817 0.734
Sm 0.678 0.953 0.357
Sm 0.408 0.557 0.816
Sm 0.930 0.280 0.861
Al 0.500 0.000 0.000
Hg 0.225 0.616 0.451
Hg 0.775 0.384 0.549

Properties
DFT formation energy ... -0.218 eV/atom
Final energy ... -4.045 eV/atom
SG ... C2/m



No. 3
## Ti4VPt (PBE)

Data for an optimized crystal structure of Ti4VPt.

Cell lengths 4.273, 4.274, 6.075 Å; angles 89.95, 89.97, 90.00 degrees
Positions (direct):
Ti 0.501 0.997 0.262
Ti 0.501 0.998 0.735
Ti 0.001 0.498 0.735
Ti 0.001 0.497 0.262
V 0.001 0.997 0.498
Pt 0.501 0.497 0.998

Properties
DFT formation energy ... 0.085 eV/atom
Final energy ... -7.705 eV/atom
SG ... P4/mmm



No. 4
## Pm2NpFe2 (PBE)

Data for an optimized crystal structure of Pm2NpFe2.

Cell lengths 5.768, 5.768, 7.491 Å; angles 83.31, 83.31, 62.34 degrees
Site moments in Bohr magnetons follow the coordinates.
Positions (direct):
Pm 0.461 0.235 0.151  0.12
Pm 0.765 0.539 0.349  0.12
Pm 0.539 0.765 0.849  0.12
Pm 0.235 0.461 0.651  0.12
Np 0.119 0.881 0.250  2.63
Np 0.881 0.119 0.750  2.63
Fe 0.772 0.002 0.519  -0.76
Fe 0.998 0.228 0.981  -0.76
Fe 0.228 0.998 0.481  -0.76
Fe 0.002 0.772 0.019  -0.76

Properties
DFT formation energy ... 0.018 eV/atom
Final energy ... -7.856 eV/atom
SG ... C2/c



No. 5
## Nd4SmEr6 (PBE)

Data for an optimized crystal structure of Nd4SmEr6.

Cell lengths 9.691, 9.691, 9.691 Å; angles 58.24, 139.75, 139.75 degrees
Positions (direct):
Nd 0.000 0.634 0.015
Nd 0.380 0.366 0.366
Nd 0.000 0.015 0.634
Nd 0.620 0.985 0.985
Sm 0.000 0.000 0.000
Er 0.000 0.802 0.446
Er 0.000 0.446 0.802
Er 0.356 0.554 0.554
Er 0.500 0.500 0.000
Er 0.644 0.198 0.198
Er 0.500 0.000 0.500

Properties
DFT formation energy ... 0.304 eV/atom
Final energy ... -4.348 eV/atom
SG ... I-42m



No. 6
## Cs2Sn2Bi (PBE)

Data for an optimized crystal structure of Cs2Sn2Bi.

Cell lengths 8.250, 8.250, 6.353 Å; angles 90.00, 90.00, 90.00 degrees
Positions (direct):
Cs 0.694 0.194 0.500
Cs 0.806 0.694 0.500
Cs 0.306 0.806 0.500
Cs 0.194 0.306 0.500
Sn 0.880 0.380 0.000
Sn 0.620 0.880 0.000
Sn 0.120 0.620 0.000
Sn 0.380 0.120 0.000
Bi 0.000 0.000 0.000
Bi 0.500 0.500 0.000

Properties
DFT formation energy ... -0.164 eV/atom
Final energy ... -2.883 eV/atom
SG ... P4/mbm



No. 7
## LiAlNi3 (PBE)

Data for an optimized crystal structure of LiAlNi3.

Cell lengths 3.899, 3.899, 3.899 Å; angles 90.00, 90.00, 90.00 degrees
Positions (direct):
Ni 0.000 0.500 0.000
Ni 0.000 0.000 0.500
Ni 0.500 0.000 0.000
Al 0.500 0.500 0.500
Li 0.000 0.000 0.000

Properties
DFT formation energy ... 0.383 eV/atom
Final energy ... -4.217 eV/atom
SG ... Pm-3m



No. 8
## Zr2CuHg (PBE)

Data for an optimized crystal structure of Zr2CuHg.

Cell lengths 4.851, 4.851, 4.851 Å; angles 60.00, 60.00, 60.00 degrees
Site moments in Bohr magnetons follow the coordinates.
Positions (direct):
Cu 0.500 0.500 0.500  0.09
Hg 0.750 0.750 0.750  0.03
Zr 0.000 0.000 0.000  1.01
Zr 0.250 0.250 0.250  1.05

Properties
DFT formation energy ... 0.228 eV/atom
Final energy ... -5.146 eV/atom
SG ... F-43m



No. 9
## TlAgPb2 (PBE)

Data for an optimized crystal structure of TlAgPb2.

Cell lengths 3.495, 3.495, 8.945 Å; angles 90.00, 90.00, 90.00 degrees
Positions (direct):
Pb 0.000 0.000 0.965
Pb 0.500 0.500 0.250
Tl 0.000 0.000 0.534
Ag 0.500 0.500 0.751

Properties
DFT formation energy ... 0.060 eV/atom
Final energy ... -3.098 eV/atom
SG ... P4mm



No. 10
## Tc2NiRu (PBE)

Data for an optimized crystal structure of Tc2NiRu.

Cell lengths 8.825, 8.825, 8.825 Å; angles 17.59, 17.59, 17.59 degrees
Positions (direct):
Ni 0.500 0.500 0.500
Ru 0.752 0.752 0.752
Tc 0.000 0.000 0.000
Tc 0.248 0.248 0.248

Properties
DFT formation energy ... 0.109 eV/atom
Final energy ... -8.838 eV/atom
SG ... R3m



No. 11
## Ca2SnBi2 (PBE)

Data for an optimized crystal structure of Ca2SnBi2.

Cell lengths 6.318, 6.318, 6.401 Å; angles 60.43, 60.43, 90.00 degrees
Positions (direct):
Ca 0.750 0.250 0.500
Ca 0.250 0.750 0.500
Bi 0.326 0.326 0.348
Bi 0.674 0.674 0.652
Sn 0.000 0.000 0.000

Properties
DFT formation energy ... -0.299 eV/atom
Final energy ... -3.453 eV/atom
SG ... I4/mmm



No. 12
## BaMnInCl2 (PBE)

Data for an optimized crystal structure of BaMnInCl2.

Cell lengths 5.108, 5.465, 5.108 Å; angles 90.00, 90.00, 90.00 degrees
Site moments in Bohr magnetons follow the coordinates.
Positions (direct):
Cl 0.000 0.000 0.500  0.00
Cl 0.500 0.000 0.000  -0.01
Mn 0.000 0.000 0.000  3.83
Ba 0.500 0.500 0.500  -0.12
In 0.000 0.500 0.000  -0.30

Properties
Raw formation energy ... -0.72 eV/atom
Final energy ... -4.221 eV/atom
SG ... P4/mmm



No. 13
## Al2CuPt (PBE)

Data for an optimized crystal structure of Al2CuPt.

Cell lengths 4.773, 4.772, 4.767 Å; angles 133.44, 133.43, 68.01 degrees
Positions (direct):
Cu 0.500 0.500 0.000
Pt 0.750 0.250 0.500
Al 0.000 0.000 0.000
Al 0.250 0.750 0.500

Properties
DFT formation energy ... -0.607 eV/atom
Final energy ... -5.013 eV/atom
SG ... F222



No. 14
## HfGeClO4 (PBE)

Data for an optimized crystal structure of HfGeClO4.

Cell lengths 6.288, 6.288, 6.587 Å; angles 77.24, 77.24, 59.92 degrees
Positions (direct):
Hf 0.293 0.293 0.856
Hf 0.707 0.707 0.144
Ge 0.645 0.645 0.710
Ge 0.355 0.355 0.290
Cl 0.022 0.022 0.138
Cl 0.978 0.978 0.862
O 0.282 0.282 0.554
O 0.718 0.718 0.446
O 0.099 0.498 0.138
O 0.522 0.522 0.233
O 0.502 0.901 0.862
O 0.498 0.099 0.138
O 0.478 0.478 0.767
O 0.901 0.502 0.862

Properties
Raw formation energy ... -2.07 eV/atom
Final energy ... -7.249 eV/atom
SG ... C2/m



No. 15
## NaPSeO2 (PBE)

Data for an optimized crystal structure of NaPSeO2.

Cell lengths 4.042, 4.042, 5.801 Å; angles 90.00, 90.00, 90.00 degrees
Site moments in Bohr magnetons follow the coordinates.
Positions (direct):
P 0.000 0.000 0.500  0.36
O 0.000 0.500 0.000  1.16
O 0.500 0.000 0.000  1.16
Se 0.500 0.500 0.500  0.19
Na 0.000 0.000 0.000  -0.01

Properties
Raw formation energy ... 0.84 eV/atom
Final energy ... -3.182 eV/atom
SG ... P4/mmm



No. 16
## Nd3Cd2Bi (PBE)

Data for an optimized crystal structure of Nd3Cd2Bi.

Cell lengths 4.141, 5.301, 16.132 Å; angles 90.00, 90.00, 90.00 degrees
Positions (direct):
Nd 0.500 0.500 0.665
Nd 0.499 0.000 0.500
Nd 0.500 0.500 0.335
Nd 0.500 0.000 0.165
Nd 0.501 0.500 0.000
Nd 0.500 0.000 0.835
Cd 0.000 0.000 0.679
Cd 0.000 0.000 0.321
Cd 0.000 0.500 0.179
Cd 0.000 0.500 0.821
Bi 0.999 0.500 0.500
Bi 0.001 0.000 0.000

Properties
DFT formation energy ... -0.477 eV/atom
Final energy ... -3.813 eV/atom
SG ... Pmmn



No. 17
## Sc3TeN (PBE)

Data for an optimized crystal structure of Sc3TeN.

Cell lengths 4.468, 4.468, 4.468 Å; angles 90.00, 90.00, 90.00 degrees
Positions (direct):
Sc 0.000 0.500 0.000
Sc 0.000 0.000 0.500
Sc 0.500 0.000 0.000
Te 0.500 0.500 0.500
N 0.000 0.000 0.000

Properties
Raw formation energy ... -1.01 eV/atom
Final energy ... -7.102 eV/atom
SG ... Pm-3m



No. 18
## TmFe3H6 (PBE)

Data for an optimized crystal structure of TmFe3H6.

Cell lengths 4.383, 4.383, 5.406 Å; angles 90.00, 113.92, 120.00 degrees
Site moments in Bohr magnetons follow the coordinates.
Positions (direct):
Tm 0.759 0.880 0.639  -0.12
Fe 0.686 0.343 0.029  2.01
Fe 0.350 0.675 0.024  1.68
Fe 0.131 0.066 0.197  2.05
H 0.360 0.437 0.783  -0.01
H 0.170 0.704 0.254  -0.02
H 0.788 0.084 0.254  -0.02
H 0.346 0.923 0.783  -0.01
H 0.860 0.423 0.783  -0.01
H 0.551 0.466 0.254  -0.02

Properties
Final energy ... -5.143 eV/atom
SG ... R3



No. 19
## HoNbNiOs (PBE)

Data for an optimized crystal structure of HoNbNiOs.

Cell lengths 4.604, 4.604, 4.604 Å; angles 60.00, 60.00, 60.00 degrees
Positions (direct):
Ni 0.250 0.250 0.250
Nb 0.500 0.500 0.500
Os 0.750 0.750 0.750
Ho 0.000 0.000 0.000

Properties
DFT formation energy ... -0.146 eV/atom
Final energy ... -8.061 eV/atom
SG ... F-43m



No. 20
## Pr6TeP2Br3 (PBE)

Data for an optimized crystal structure of Pr6TeP2Br3.

Cell lengths 4.221, 8.979, 9.770 Å; angles 102.15, 102.48, 90.00 degrees
Positions (direct):
Pr 0.332 0.873 0.665
Pr 0.676 0.558 0.352
Pr 0.668 0.127 0.335
Pr 0.022 0.259 0.044
Pr 0.978 0.741 0.956
Pr 0.324 0.442 0.648
Te 0.500 0.000 0.000
P 0.827 0.658 0.654
P 0.173 0.342 0.346
Br 0.500 0.500 0.000
Br 0.837 0.163 0.673
Br 0.163 0.837 0.327

Properties
Raw formation energy ... -1.42 eV/atom
Final energy ... -5.387 eV/atom
SG ... C2/m



no.,size of the total moment (μB per formula unit)
1,0.0
2,0.0
3,0.0
4,1.7
5,0.0
6,0.0
7,0.0
8,2.9
9,0.0
10,0.0
11,0.0
12,3.0
13,0.0
14,0.0
15,3.9
16,0.0
17,0.0
18,5.6
19,0.0
20,0.0